First-principles (PBE) data for a relaxed ReBS2N crystal, as listed in Alexandria via LeMat-Bulk.

It has space group P4/mmm (No. 123), with a = 4.7520 Å, b = 4.7520 Å, c = 3.7337 Å, α = 90.00°, β = 90.00° and γ = 90.00°. The inequivalent atoms are Re at (0.0000, 0.0000, 0.0000), B at (0.5000, 0.5000, 0.5000), S at (0.0000, 0.5000, 0.0000) and N at (0.0000, 0.0000, 0.5000).

The excess energy over the best structure of this formula in the dataset comes out at 283 meV/atom. The total energy is -6.04 eV/atom. The value obtained for the formation energy from raw total energies is 1105.1 meV/atom.